Material: HfNiP2S
Method: DFT, PBE-GGA
State: optimized geometry

```
data_HfNiP2S
_cell_length_a 4.303
_cell_length_b 4.303
_cell_length_c 4.562
_cell_angle_alpha 90.00
_cell_angle_beta 90.00
_cell_angle_gamma 90.00
_space_group_name_H-M_alt 'P 1'
_space_group_IT_number 1
loop_
_space_group_symop_operation_xyz
'x,y,z'
loop_
_atom_site_label
_atom_site_fract_x
_atom_site_fract_y
_atom_site_fract_z
Hf1 0.000 0.000 0.000
Ni1 0.500 0.500 0.500
P1 0.000 0.500 0.500
P2 0.500 0.000 0.500
S1 0.500 0.500 0.000
```

Calculated values
Uncorrected energy, eV/atom: -5.996
Raw formation energy, eV/atom: 0.140
Offset from the most stable computed form, eV/atom: 0.0000


Material: HfNiP2S
Method: DFT, PBE-GGA
State: optimized geometry

```
data_HfNiP2S
_cell_length_a 4.977
_cell_length_b 4.977
_cell_length_c 4.828
_cell_angle_alpha 90.00
_cell_angle_beta 90.00
_cell_angle_gamma 90.00
_space_group_name_H-M_alt 'P 1'
_space_group_IT_number 1
loop_
_space_group_symop_operation_xyz
'x,y,z'
loop_
_atom_site_label
_atom_site_fract_x
_atom_site_fract_y
_atom_site_fract_z
Hf1 0.000 0.000 0.000
Ni1 0.500 0.500 0.500
P1 0.000 0.500 0.000
P2 0.500 0.000 0.000
S1 0.000 0.000 0.500
```

Calculated values
Uncorrected energy, eV/atom: -5.534
Raw formation energy, eV/atom: 0.603
Offset from the most stable computed form, eV/atom: 0.4627


Material: HfNiP2Se
Method: DFT, PBE-GGA
State: optimized geometry

```
data_HfNiP2Se
_cell_length_a 4.311
_cell_length_b 4.311
_cell_length_c 4.807
_cell_angle_alpha 90.00
_cell_angle_beta 90.00
_cell_angle_gamma 90.00
_space_group_name_H-M_alt 'P 1'
_space_group_IT_number 1
loop_
_space_group_symop_operation_xyz
'x,y,z'
loop_
_atom_site_label
_atom_site_fract_x
_atom_site_fract_y
_atom_site_fract_z
Hf1 0.000 0.000 0.000
Ni1 0.500 0.500 0.500
P1 0.000 0.500 0.500
P2 0.500 0.000 0.500
Se1 0.500 0.500 0.000
```

Calculated values
Uncorrected energy, eV/atom: -5.831
Raw formation energy, eV/atom: 0.177


> Number 1 is which compound?

HfNiP2S


> Which of these has the highest uncorrected energy?

number 2


> Number 3 is which compound?

HfNiP2Se


> Which of these has the lowest raw formation energy?

number 1